# 1
This record from Alexandria via LeMat-Bulk describes crystalline Nd2Cd4Ag at its relaxed geometry. The functional is PBE.

CIF file:
```
data_Nd2Cd4Ag
_chemical_formula_sum 'Nd2 Cd4 Ag1'
_symmetry_space_group_name_H-M 'P 1'
_symmetry_Int_Tables_number 1
_cell_length_a 4.9433
_cell_length_b 4.9433
_cell_length_c 10.0866
_cell_angle_alpha 61.02
_cell_angle_beta 61.02
_cell_angle_gamma 60.08
loop_
_symmetry_equiv_pos_as_xyz
'x,y,z'
loop_
_atom_site_label
_atom_site_type_symbol
_atom_site_fract_x
_atom_site_fract_y
_atom_site_fract_z
Nd1 Nd 0.8566 0.8566 0.7159
Nd2 Nd 0.1434 0.1434 0.2841
Ag1 Ag 0.0000 0.0000 0.0000
Cd1 Cd 0.6499 0.6499 0.5251
Cd2 Cd 0.3501 0.3501 0.4749
Cd3 Cd 0.6005 0.6005 0.0987
Cd4 Cd 0.3995 0.3995 0.9013
```

Output
- E_form (eV/atom) = -0.293
- size of the total moment (μB/f.u.) = 0.0
- density (g cm⁻³) = 7.935

# 2
This record from Alexandria via LeMat-Bulk describes crystalline LuCuRh at its relaxed geometry. The functional is PBE.

CIF file:
```
data_LuCuRh
_chemical_formula_sum 'Lu1 Cu1 Rh1'
_symmetry_space_group_name_H-M 'P 1'
_symmetry_Int_Tables_number 1
_cell_length_a 3.3799
_cell_length_b 3.3799
_cell_length_c 5.0547
_cell_angle_alpha 109.53
_cell_angle_beta 109.53
_cell_angle_gamma 90.00
loop_
_symmetry_equiv_pos_as_xyz
'x,y,z'
loop_
_atom_site_label
_atom_site_type_symbol
_atom_site_fract_x
_atom_site_fract_y
_atom_site_fract_z
Lu1 Lu 0.9469 0.9469 0.8937
Rh1 Rh 0.2745 0.2745 0.5491
Cu1 Cu 0.6286 0.6286 0.2572
```

Output
- polymorph energy (0 for the lowest one) (eV/f.u.) = 0.086
- E_form (eV/atom) = -0.496
- size of the total moment (μB/f.u.) = 0.0
- density (g cm⁻³) = 11.142